(1)
Density functional theory data (PBE) for La2MgAg3 after structural relaxation.

The density of states at the Fermi level comes out at 4.979 states/eV/f.u. As for the energy of formation: -0.2552 eV per atom. Its electronic total energy is -3.59 eV per atom.

The structure belongs to space group P-3m1 (No. 164); the cell edges are 5.2613, 5.2613 and 12.6769 Å and the angles 90.00°, 90.00° and 120.00°. The distinct sites, in fractional coordinates, are La at (0.0000, 0.0000, 0.0000), La at (0.0000, 0.0000, 0.5000), La at (0.3333, 0.6667, 0.1812), Mg at (0.3333, 0.6667, 0.6629), Ag at (0.0000, 0.0000, 0.2532), Ag at (0.3333, 0.6667, 0.4292) and Ag at (0.3333, 0.6667, 0.9026).



(2)
Density functional theory data (PBE) for La2Mg3Ag4 after structural relaxation.

The density of states at the Fermi level comes out at 7.788 states/eV/f.u. As for the energy of formation: -0.2248 eV per atom. Its electronic total energy is -3.12 eV per atom.

The structure belongs to space group Cmce (No. 64); the cell edges are 6.2202, 16.9200 and 8.1206 Å and the angles 90.00°, 90.00° and 90.00°. The distinct sites, in fractional coordinates, are La at (0.0000, 0.1074, 0.0899), Mg at (0.0000, 0.0000, 0.5000), Mg at (0.2500, 0.2267, 0.7500), Ag at (0.0000, 0.1751, 0.4743) and Ag at (0.2500, 0.0597, 0.7500).



Number 1 is which compound?
La2MgAg3